Entry 1:
A relaxed TaTiB2Os crystal. Source: Alexandria via LeMat-Bulk, functional GGA-PBE.

Cell lengths 4.139, 4.139, 4.701 Å; angles 90.00, 90.00, 90.00 degrees
Element x y z (fractional)
Ta  0.000  0.000  0.000
Ti  0.000  0.000  0.500
B  0.000  0.500  0.000
B  0.500  0.000  0.000
Os  0.500  0.500  0.500

Results
Energy of formation from the pure elements in eV/atom: 1.952
Theoretical density in g/cm³: 9.1
Calculated volume in Å³ per atom: 16.1
Raw total energy in eV per atom: -6.914

Entry 2:
A relaxed Ta2VB2Os5 crystal. Source: Alexandria via LeMat-Bulk, functional GGA-PBE.

Cell lengths 9.410, 9.410, 2.986 Å; angles 90.00, 90.00, 90.00 degrees
Element x y z (fractional)
Ta  0.178  0.322  0.000
Ta  0.322  0.822  0.000
Ta  0.678  0.178  0.000
Ta  0.822  0.678  0.000
V  0.000  0.000  0.000
V  0.500  0.500  0.000
B  0.124  0.624  0.000
B  0.376  0.124  0.000
B  0.624  0.876  0.000
B  0.876  0.376  0.000
Os  0.000  0.500  0.500
Os  0.070  0.786  0.500
Os  0.214  0.070  0.500
Os  0.286  0.570  0.500
Os  0.430  0.286  0.500
Os  0.500  0.000  0.500
Os  0.570  0.714  0.500
Os  0.714  0.430  0.500
Os  0.786  0.930  0.500
Os  0.930  0.214  0.500

Results
Energy of formation from the pure elements in eV/atom: -0.435
Theoretical density in g/cm³: 17.4
Calculated volume in Å³ per atom: 13.2
Raw total energy in eV per atom: -10.668

Entry 3:
A relaxed Tb2B3Os2 crystal. Source: Alexandria via LeMat-Bulk, functional GGA-PBE.

Cell lengths 5.724, 5.724, 5.537 Å; angles 104.19, 104.19, 40.91 degrees
Element x y z (fractional)
Tb  0.096  0.096  0.306
Tb  0.904  0.904  0.694
B  0.178  0.178  0.798
B  0.500  0.500  0.000
B  0.822  0.822  0.202
Os  0.341  0.341  0.117
Os  0.659  0.659  0.883

Results
Energy of formation from the pure elements in eV/atom: -0.418
Theoretical density in g/cm³: 10.6
Calculated volume in Å³ per atom: 16.4
Raw total energy in eV per atom: -7.811

Entry 4:
A relaxed Tb3B4Os2 crystal. Source: Alexandria via LeMat-Bulk, functional GGA-PBE.

Cell lengths 5.933, 5.933, 7.711 Å; angles 116.17, 116.17, 38.11 degrees
Element x y z (fractional)
Tb  0.000  0.000  0.000
Tb  0.363  0.363  0.260
Tb  0.637  0.637  0.740
B  0.117  0.117  0.406
B  0.320  0.320  0.894
B  0.680  0.680  0.106
B  0.883  0.883  0.594
Os  0.324  0.324  0.642
Os  0.676  0.676  0.358

Results
Energy of formation from the pure elements in eV/atom: -0.345
Theoretical density in g/cm³: 10.1
Calculated volume in Å³ per atom: 16.5
Raw total energy in eV per atom: -7.351

Question: Which of these has the highest energy of formation from the pure elements?
Answer: TaTiB2Os